Record 1
{
  "formula": "Er3In3IrPt",
  "functional": "GGA-PBE",
  "state": "relaxed",
  "e_tot_ev_per_atom": -5.38,
  "spacegroup": "P-6",
  "cell": [[7.626, 0.000, 0.000], [-3.813, 6.604, 0.000], [0.000, 0.000, 3.620]],
  "species": ["Er", "Er", "Er", "In", "In", "In", "Ir", "Pt"],
  "fractional_positions": [[0.092, 0.340, 0.000], [0.249, 0.908, 0.000], [0.660, 0.751, 0.000], [0.434, 0.336, 0.500], [0.664, 0.099, 0.500], [0.901, 0.566, 0.500], [0.333, 0.667, 0.500], [0.000, 0.000, 0.500]]
}

=====

Record 2
{
  "formula": "YScCuBi",
  "functional": "GGA-PBE",
  "state": "relaxed",
  "e_tot_ev_per_atom": -5.03,
  "polymorph_energy_ev_per_fu": 0.00,
  "spacegroup": "F-43m",
  "cell": [[0.000, 3.621, 3.621], [3.621, 0.000, 3.621], [3.621, 3.621, 0.000]],
  "species": ["Y", "Sc", "Cu", "Bi"],
  "fractional_positions": [[0.000, 0.000, 0.000], [0.250, 0.250, 0.250], [0.750, 0.750, 0.750], [0.500, 0.500, 0.500]]
}